1.
The following is a DFT calculation (PBE-GGA) of a relaxed structure of CsLa2InIr.

```
data_CsLa2InIr
_cell_length_a 6.0134
_cell_length_b 6.0134
_cell_length_c 6.2491
_cell_angle_alpha 90.00
_cell_angle_beta 90.00
_cell_angle_gamma 90.00
_space_group_name_H-M_alt 'P 4/m m m'
_space_group_IT_number 123
_space_group_name_Hall '-P 4 2'
loop_
_atom_site_label
_atom_site_type_symbol
_atom_site_fract_x
_atom_site_fract_y
_atom_site_fract_z
Cs1 Cs 0.0000 0.0000 0.0000
La1 La 0.0000 0.5000 0.5000
In1 In 0.0000 0.0000 0.5000
Ir1 Ir 0.5000 0.5000 0.0000
```

## Properties
Formation energy, kJ/mol of formula units: 575
Density of states at the Fermi level, states/eV/f.u.: 9.9



2.
The following is a DFT calculation (PBE-GGA) of a relaxed structure of CaCuTe2S4.

```
data_CaCuTe2S4
_cell_length_a 10.0751
_cell_length_b 10.4647
_cell_length_c 6.9069
_cell_angle_alpha 90.00
_cell_angle_beta 90.00
_cell_angle_gamma 90.00
_space_group_name_H-M_alt 'F m m 2'
_space_group_IT_number 42
_space_group_name_Hall 'F 2 -2'
loop_
_atom_site_label
_atom_site_type_symbol
_atom_site_fract_x
_atom_site_fract_y
_atom_site_fract_z
Ca1 Ca 0.0000 0.0000 0.0000
Cu1 Cu 0.0000 0.0000 0.5032
Te1 Te 0.2500 0.2500 0.2402
S1 S 0.0000 0.1783 0.3011
S2 S 0.1882 0.0000 0.6973
```

## Properties
Energy relative to the elements, uncorrected, meV per atom: -455.8
Density of states at the Fermi level, states/eV/f.u.: 2.0



3.
The following is a DFT calculation (PBE-GGA) of a relaxed structure of ZrNbSn4.

```
data_ZrNbSn4
_cell_length_a 5.9708
_cell_length_b 8.6761
_cell_length_c 5.9870
_cell_angle_alpha 90.00
_cell_angle_beta 90.00
_cell_angle_gamma 90.00
_space_group_name_H-M_alt 'C m m m'
_space_group_IT_number 65
_space_group_name_Hall '-C 2 2'
loop_
_atom_site_label
_atom_site_type_symbol
_atom_site_fract_x
_atom_site_fract_y
_atom_site_fract_z
Zr1 Zr 0.0000 0.0000 0.0000
Nb1 Nb 0.0000 0.5000 0.5000
Sn1 Sn 0.2500 0.2500 0.2536
```

## Properties
Formation energy, kJ/mol of formula units: 35
Density of states at the Fermi level, states/eV/f.u.: 4.3



4.
The following is a DFT calculation (PBE-GGA) of a relaxed structure of Sn2PPb.

```
data_Sn2PPb
_cell_length_a 6.9187
_cell_length_b 6.9187
_cell_length_c 11.1593
_cell_angle_alpha 90.00
_cell_angle_beta 90.00
_cell_angle_gamma 90.00
_space_group_name_H-M_alt 'I -4 2 d'
_space_group_IT_number 122
_space_group_name_Hall 'I -4 2bw'
loop_
_atom_site_label
_atom_site_type_symbol
_atom_site_fract_x
_atom_site_fract_y
_atom_site_fract_z
Sn1 Sn 0.2042 0.2500 0.1250
P1 P 0.0000 0.0000 0.0000
Pb1 Pb 0.0000 0.0000 0.5000
```

## Properties
Formation energy, kJ/mol of formula units: 73
Density of states at the Fermi level, states/eV/f.u.: 2.2